#a
Compound: Ta2Nb2H
Source: Alexandria
Functional: PBE
Structure: relaxed

Results
The volume comes out at 185.8 Å³/cell. The size of the total moment comes out at 0.00 μB/f.u.

Unit cell a=3.628 b=3.628 c=14.112 alpha=90.00 beta=90.00 gamma=90.00
Space group I4/mmm (No. 139)
Symmetry-distinct sites (fractional):
Ta 0.000 0.000 0.089 [4 per cell]
Nb 0.000 0.500 0.250 [4 per cell]
H 0.000 0.000 0.500 [2 per cell]

=====

#b
Compound: Ta2Nb2H
Source: Alexandria
Functional: PBE
Structure: relaxed

Results
The volume comes out at 162.4 Å³/cell. The size of the total moment comes out at 0.00 μB/f.u.

Unit cell a=5.527 b=5.527 c=5.318 alpha=90.00 beta=90.00 gamma=90.00
Space group P4/mbm (No. 127)
Symmetry-distinct sites (fractional):
Ta 0.162 0.338 0.000 [4 per cell]
Nb 0.164 0.664 0.500 [4 per cell]
H 0.000 0.000 0.000 [2 per cell]

=====

How far above the most stable structure does each one sit? In eV/atom: #a 0.864; #b 0.000.

=====

#a
Compound: Ta2NbH3
Source: Alexandria
Functional: PBE
Structure: relaxed

Results
The volume comes out at 120.7 Å³/cell. The size of the total moment comes out at 0.00 μB/f.u.

Unit cell a=9.868 b=4.474 c=2.845 alpha=90.00 beta=106.00 gamma=90.00
Space group C2/m (No. 12)
Symmetry-distinct sites (fractional):
Ta 0.167 0.000 0.165 [4 per cell]
Nb 0.000 0.500 0.500 [2 per cell]
H 0.000 0.000 0.500 [2 per cell]
H 0.168 0.500 0.167 [4 per cell]

=====

#b
Compound: Ta2NbH3
Source: Alexandria
Functional: PBE
Structure: relaxed

Results
The volume comes out at 124.2 Å³/cell. The size of the total moment comes out at 0.00 μB/f.u.

Unit cell a=3.463 b=10.312 c=3.477 alpha=90.00 beta=90.00 gamma=90.00
Space group Pmmn (No. 59, origin choice 2)
Symmetry-distinct sites (fractional):
Ta 0.250 0.083 0.237 [4 per cell]
Nb 0.250 0.750 0.263 [2 per cell]
H 0.250 0.250 0.983 [2 per cell]
H 0.250 0.580 0.510 [4 per cell]

=====

How far above the most stable structure does each one sit? In eV/atom: #a 0.098; #b 0.000.

=====

#a
Compound: TaNb2H
Source: Alexandria
Functional: PBE
Structure: relaxed

Results
The volume comes out at 509.3 Å³/cell. The size of the total moment comes out at 0.00 μB/f.u.

Unit cell a=7.986 b=7.986 c=7.986 alpha=90.00 beta=90.00 gamma=90.00
Space group Fd-3m (No. 227, origin choice 2)
Symmetry-distinct sites (fractional):
Ta 0.125 0.125 0.125 [8 per cell]
Nb 0.000 0.000 0.500 [16 per cell]
H 0.125 0.125 0.625 [8 per cell]

=====

#b
Compound: TaNb2H
Source: Alexandria
Functional: PBE
Structure: relaxed

Results
The volume comes out at 58.5 Å³/cell. The size of the total moment comes out at 0.00 μB/f.u.

Unit cell a=2.773 b=2.773 c=7.601 alpha=90.00 beta=90.00 gamma=90.00
Space group P4/mmm (No. 123)
Symmetry-distinct sites (fractional):
Ta 0.000 0.000 0.000 [1 per cell]
Nb 0.500 0.500 0.316 [2 per cell]
H 0.000 0.000 0.500 [1 per cell]

=====

How far above the most stable structure does each one sit? In eV/atom: #a 0.030; #b 0.000.

=====

#a
Compound: TaNb2H
Source: Alexandria
Functional: PBE
Structure: relaxed

Results
The volume comes out at 256.4 Å³/cell. The size of the total moment comes out at 0.00 μB/f.u.

Unit cell a=6.353 b=6.353 c=6.353 alpha=90.00 beta=90.00 gamma=90.00
Space group Fm-3m (No. 225)
Symmetry-distinct sites (fractional):
Ta 0.000 0.000 0.000 [4 per cell]
Nb 0.250 0.250 0.250 [8 per cell]
H 0.000 0.000 0.500 [4 per cell]

=====

#b
Compound: TaNb2H
Source: Alexandria
Functional: PBE
Structure: relaxed

Results
The volume comes out at 189.8 Å³/cell. The size of the total moment comes out at 0.00 μB/f.u.

Unit cell a=2.8638 b=2.8638 c=26.7251 alpha=90.00 beta=90.00 gamma=120.00
Space group R-3m (No. 166, hexagonal axes)
Symmetry-distinct sites (fractional):
Ta 0.0000 0.0000 0.0000 [3 per cell]
Nb 0.0000 0.0000 0.4321 [6 per cell]
H 0.0000 0.0000 0.5000 [3 per cell]

=====

How far above the most stable structure does each one sit? In eV/atom: #a 0.391; #b 0.000.

=====

#a
Compound: Ta2NbTcH
Source: Alexandria
Functional: PBE
Structure: relaxed

Results
The volume comes out at 71.5 Å³/cell. The size of the total moment comes out at 0.00 μB/f.u.

Unit cell a=4.576 b=4.576 c=3.417 alpha=90.00 beta=90.00 gamma=90.00
Space group P4/mmm (No. 123)
Symmetry-distinct sites (fractional):
Ta 0.000 0.500 0.000 [2 per cell]
Nb 0.000 0.000 0.500 [1 per cell]
Tc 0.500 0.500 0.500 [1 per cell]
H 0.500 0.500 0.000 [1 per cell]

=====

#b
Compound: Ta2NbTcH
Source: Alexandria
Functional: PBE
Structure: relaxed

Results
The volume comes out at 71.5 Å³/cell. The size of the total moment comes out at 0.00 μB/f.u.

Unit cell a=4.539 b=4.539 c=3.472 alpha=90.00 beta=90.00 gamma=90.00
Space group P4/mmm (No. 123)
Symmetry-distinct sites (fractional):
Ta 0.000 0.500 0.000 [2 per cell]
Nb 0.000 0.000 0.500 [1 per cell]
Tc 0.500 0.500 0.500 [1 per cell]
H 0.000 0.000 0.000 [1 per cell]

=====

How far above the most stable structure does each one sit? In eV/atom: #a 0.000; #b 0.005.

=====

#a
Compound: TaNbV2H
Source: Alexandria
Functional: PBE
Structure: relaxed

Results
The volume comes out at 66.9 Å³/cell. The size of the total moment comes out at 0.00 μB/f.u.

Unit cell a=3.808 b=3.808 c=4.613 alpha=90.00 beta=90.00 gamma=90.00
Space group P4/mmm (No. 123)
Symmetry-distinct sites (fractional):
Ta 0.000 0.000 0.000 [1 per cell]
Nb 0.500 0.500 0.000 [1 per cell]
V 0.000 0.500 0.500 [2 per cell]
H 0.500 0.500 0.500 [1 per cell]

=====

#b
Compound: TaNbV2H
Source: Alexandria
Functional: PBE
Structure: relaxed

Results
The volume comes out at 67.0 Å³/cell. The size of the total moment comes out at 0.00 μB/f.u.

Unit cell a=4.342 b=4.342 c=3.553 alpha=90.00 beta=90.00 gamma=90.00
Space group P4/mmm (No. 123)
Symmetry-distinct sites (fractional):
Ta 0.000 0.000 0.000 [1 per cell]
Nb 0.500 0.500 0.000 [1 per cell]
V 0.000 0.500 0.500 [2 per cell]
H 0.000 0.000 0.500 [1 per cell]

=====

How far above the most stable structure does each one sit? In eV/atom: #a 0.000; #b 0.009.

=====

#a
Compound: NbTcH2
Source: Alexandria
Functional: PBE
Structure: relaxed

Results
The volume comes out at 157.1 Å³/cell. The size of the total moment comes out at 0.00 μB/f.u.

Unit cell a=4.206 b=4.206 c=8.884 alpha=90.00 beta=90.00 gamma=90.00
Space group I-42d (No. 122)
Symmetry-distinct sites (fractional):
Nb 0.000 0.000 0.000 [4 per cell]
Tc 0.000 0.000 0.500 [4 per cell]
H 0.224 0.250 0.625 [8 per cell]

=====

#b
Compound: NbTcH2
Source: Alexandria
Functional: PBE
Structure: relaxed

Results
The volume comes out at 117.6 Å³/cell. The size of the total moment comes out at 0.00 μB/f.u.

Unit cell a=2.9982 b=2.9982 c=15.1028 alpha=90.00 beta=90.00 gamma=120.00
Space group R-3m (No. 166, hexagonal axes)
Symmetry-distinct sites (fractional):
Nb 0.0000 0.0000 0.0000 [3 per cell]
Tc 0.0000 0.0000 0.5000 [3 per cell]
H 0.0000 0.0000 0.1262 [6 per cell]

=====

#c
Compound: NbTcH2
Source: Alexandria
Functional: PBE
Structure: relaxed

Results
The volume comes out at 155.5 Å³/cell. The size of the total moment comes out at 0.00 μB/f.u.

Unit cell a=5.377 b=5.377 c=5.377 alpha=90.00 beta=90.00 gamma=90.00
Space group Fm-3m (No. 225)
Symmetry-distinct sites (fractional):
Nb 0.000 0.000 0.000 [4 per cell]
Tc 0.000 0.000 0.500 [4 per cell]
H 0.250 0.250 0.250 [8 per cell]

=====

#d
Compound: NbTcH2
Source: Alexandria
Functional: PBE
Structure: relaxed

Results
The volume comes out at 113.7 Å³/cell. The size of the total moment comes out at 0.00 μB/f.u.

Unit cell a=2.9585 b=2.9585 c=14.9936 alpha=90.00 beta=90.00 gamma=120.00
Space group R3m (No. 160, hexagonal axes)
Symmetry-distinct sites (fractional):
Nb 0.0000 0.0000 0.0000 [3 per cell]
Tc 0.0000 0.0000 0.8206 [3 per cell]
H 0.0000 0.0000 0.2331 [3 per cell]
H 0.0000 0.0000 0.4263 [3 per cell]

=====

How far above the most stable structure does each one sit? In eV/atom: #a 0.000; #b 0.095; #c 0.512; #d 0.168.

=====

#a
Compound: NbTcH3
Source: Alexandria
Functional: PBE
Structure: relaxed

Results
The volume comes out at 43.9 Å³/cell. The size of the total moment comes out at 0.00 μB/f.u.

Unit cell a=3.527 b=3.527 c=3.527 alpha=90.00 beta=90.00 gamma=90.00
Space group Pm-3m (No. 221)
Symmetry-distinct sites (fractional):
Nb 0.000 0.000 0.000 [1 per cell]
Tc 0.500 0.500 0.500 [1 per cell]
H 0.000 0.000 0.500 [3 per cell]

=====

#b
Compound: NbTcH3
Source: Alexandria
Functional: PBE
Structure: relaxed

Results
The volume comes out at 42.0 Å³/cell. The size of the total moment comes out at 0.00 μB/f.u.

Unit cell a=3.477 b=3.477 c=3.477 alpha=90.00 beta=90.00 gamma=90.00
Space group Pm-3m (No. 221)
Symmetry-distinct sites (fractional):
Nb 0.000 0.000 0.000 [1 per cell]
Tc 0.500 0.500 0.500 [1 per cell]
H 0.000 0.500 0.500 [3 per cell]

=====

How far above the most stable structure does each one sit? In eV/atom: #a 0.308; #b 0.000.

=====

#a
Compound: Zr2NbTcH
Source: Alexandria
Functional: PBE
Structure: relaxed

Results
The volume comes out at 78.9 Å³/cell. The size of the total moment comes out at 0.00 μB/f.u.

Unit cell a=4.745 b=4.745 c=3.506 alpha=90.00 beta=90.00 gamma=90.00
Space group P4/mmm (No. 123)
Symmetry-distinct sites (fractional):
Zr 0.000 0.500 0.000 [2 per cell]
Nb 0.000 0.000 0.500 [1 per cell]
Tc 0.500 0.500 0.500 [1 per cell]
H 0.500 0.500 0.000 [1 per cell]

=====

#b
Compound: Zr2NbTcH
Source: Alexandria
Functional: PBE
Structure: relaxed

Results
The volume comes out at 79.3 Å³/cell. The size of the total moment comes out at 0.00 μB/f.u.

Unit cell a=4.680 b=4.680 c=3.620 alpha=90.00 beta=90.00 gamma=90.00
Space group P4/mmm (No. 123)
Symmetry-distinct sites (fractional):
Zr 0.000 0.500 0.000 [2 per cell]
Nb 0.000 0.000 0.500 [1 per cell]
Tc 0.500 0.500 0.500 [1 per cell]
H 0.000 0.000 0.000 [1 per cell]

=====

How far above the most stable structure does each one sit? In eV/atom: #a 0.000; #b 0.008.

=====

#a
Compound: NbTeH2
Source: Alexandria
Functional: PBE
Structure: relaxed

Results
The volume comes out at 102.8 Å³/cell. The size of the total moment comes out at 0.00 μB/f.u.

Unit cell a=6.018 b=3.523 c=5.263 alpha=90.00 beta=112.89 gamma=90.00
Space group Cm (No. 8)
Symmetry-distinct sites (fractional):
Nb 0.000 0.000 0.000 [2 per cell]
Te 0.197 0.000 0.597 [2 per cell]
H 0.166 0.500 0.057 [2 per cell]
H 0.352 0.000 0.146 [2 per cell]

=====

#b
Compound: NbTeH2
Source: Alexandria
Functional: PBE
Structure: relaxed

Results
The volume comes out at 204.2 Å³/cell. The size of the total moment comes out at 1.17 μB/f.u.

Unit cell a=5.888 b=5.888 c=5.888 alpha=90.00 beta=90.00 gamma=90.00
Space group Fm-3m (No. 225)
Symmetry-distinct sites (fractional):
Nb 0.000 0.000 0.000 [4 per cell]
Te 0.000 0.000 0.500 [4 per cell]
H 0.250 0.250 0.250 [8 per cell]

=====

#c
Compound: NbTeH2
Source: Alexandria
Functional: PBE
Structure: relaxed

Results
The volume comes out at 219.4 Å³/cell. The size of the total moment comes out at 0.82 μB/f.u.

Unit cell a=4.293 b=4.293 c=11.905 alpha=90.00 beta=90.00 gamma=90.00
Space group I4_1/amd (No. 141, origin choice 2)
Symmetry-distinct sites (fractional):
Nb 0.000 0.250 0.375 [4 per cell]
Te 0.000 0.250 0.875 [4 per cell]
H 0.000 0.000 0.500 [8 per cell]

=====

How far above the most stable structure does each one sit? In eV/atom: #a 0.000; #b 1.004; #c 0.389.

=====

#a
Compound: NbTe2H
Source: Alexandria
Functional: PBE
Structure: relaxed

Results
The volume comes out at 236.6 Å³/cell. The size of the total moment comes out at 0.00 μB/f.u.

Unit cell a=3.2202 b=3.2202 c=26.3491 alpha=90.00 beta=90.00 gamma=120.00
Space group R-3m (No. 166, hexagonal axes)
Symmetry-distinct sites (fractional):
Nb 0.0000 0.0000 0.0000 [3 per cell]
Te 0.0000 0.0000 0.1057 [6 per cell]
H 0.0000 0.0000 0.5000 [3 per cell]

=====

#b
Compound: NbTe2H
Source: Alexandria
Functional: PBE
Structure: relaxed

Results
The volume comes out at 258.2 Å³/cell. The size of the total moment comes out at 0.00 μB/f.u.

Unit cell a=3.6039 b=3.6039 c=22.9524 alpha=90.00 beta=90.00 gamma=120.00
Space group R3m (No. 160, hexagonal axes)
Symmetry-distinct sites (fractional):
Nb 0.0000 0.0000 0.0000 [3 per cell]
Te 0.0000 0.0000 0.5817 [3 per cell]
Te 0.0000 0.0000 0.7516 [3 per cell]
H 0.0000 0.0000 0.3331 [3 per cell]

=====

#c
Compound: NbTe2H
Source: Alexandria
Functional: PBE
Structure: relaxed

Results
The volume comes out at 385.3 Å³/cell. The size of the total moment comes out at 0.00 μB/f.u.

Unit cell a=5.942 b=5.942 c=10.915 alpha=90.00 beta=90.00 gamma=90.00
Space group I-42d (No. 122)
Symmetry-distinct sites (fractional):
Nb 0.000 0.000 0.000 [4 per cell]
Te 0.201 0.250 0.625 [8 per cell]
H 0.000 0.000 0.500 [4 per cell]

=====

How far above the most stable structure does each one sit? In eV/atom: #a 1.280; #b 0.000; #c 0.864.

=====

#a
Compound: NbTe2H
Source: Alexandria
Functional: PBE
Structure: relaxed

Results
The volume comes out at 187.8 Å³/cell. The size of the total moment comes out at 0.00 μB/f.u.

Unit cell a=3.680 b=6.769 c=7.882 alpha=73.58 beta=85.98 gamma=88.82
Space group P1 (No. 1)
Symmetry-distinct sites (fractional):
Nb 0.000 0.000 0.000 [1 per cell]
Nb 0.474 0.638 0.976 [1 per cell]
Te 0.009 0.831 0.717 [1 per cell]
Te 0.468 0.812 0.258 [1 per cell]
Te 0.511 0.307 0.812 [1 per cell]
Te 0.966 0.329 0.185 [1 per cell]
H 0.249 0.822 0.479 [1 per cell]
H 0.545 0.337 0.588 [1 per cell]

=====

#b
Compound: NbTe2H
Source: Alexandria
Functional: PBE
Structure: relaxed

Results
The volume comes out at 316.2 Å³/cell. The size of the total moment comes out at 1.13 μB/f.u.

Unit cell a=6.812 b=6.812 c=6.812 alpha=90.00 beta=90.00 gamma=90.00
Space group Fm-3m (No. 225)
Symmetry-distinct sites (fractional):
Nb 0.000 0.000 0.000 [4 per cell]
Te 0.250 0.250 0.250 [8 per cell]
H 0.000 0.000 0.500 [4 per cell]

=====

How far above the most stable structure does each one sit? In eV/atom: #a 0.000; #b 0.555.